# ZrAg2

A relaxed structure of ZrAg2 (PBE-GGA, the Alexandria database).

Geometry as CIF:
```
data_ZrAg2
_chemical_formula_sum 'Zr2 Ag4'
_cell_length_a 4.815
_cell_length_b 4.815
_cell_length_c 5.868
_cell_angle_alpha 90.00
_cell_angle_beta 90.00
_cell_angle_gamma 120.00
_space_group_name_H-M_alt 'P 1'
_space_group_IT_number 1
loop_
_space_group_symop_operation_xyz
'x,y,z'
loop_
_atom_site_label
_atom_site_type_symbol
_atom_site_fract_x
_atom_site_fract_y
_atom_site_fract_z
Zr1 Zr 0.333 0.667 0.250
Zr2 Zr 0.667 0.333 0.750
Ag1 Ag 0.000 0.000 0.000
Ag2 Ag 0.000 0.000 0.500
Ag3 Ag 0.333 0.667 0.750
Ag4 Ag 0.667 0.333 0.250
```

Results
Space group   P6_3/mmc, No. 194
Energy of formation   65 meV/atom
E   -28.1 eV for the cell shown
ΔE to the lowest computed polymorph   12.16 kJ per mole of atoms



# ZrAg2

A relaxed structure of ZrAg2 (PBE-GGA, the Alexandria database).

Geometry as CIF:
```
data_ZrAg2
_chemical_formula_sum 'Zr4 Ag8'
_cell_length_a 5.878
_cell_length_b 4.856
_cell_length_c 8.269
_cell_angle_alpha 90.00
_cell_angle_beta 90.00
_cell_angle_gamma 90.00
_space_group_name_H-M_alt 'P 1'
_space_group_IT_number 1
loop_
_space_group_symop_operation_xyz
'x,y,z'
loop_
_atom_site_label
_atom_site_type_symbol
_atom_site_fract_x
_atom_site_fract_y
_atom_site_fract_z
Zr1 Zr 0.194 0.250 0.089
Zr2 Zr 0.306 0.750 0.589
Zr3 Zr 0.694 0.250 0.411
Zr4 Zr 0.806 0.750 0.911
Ag1 Ag 0.011 0.750 0.254
Ag2 Ag 0.197 0.250 0.430
Ag3 Ag 0.303 0.750 0.930
Ag4 Ag 0.489 0.250 0.754
Ag5 Ag 0.511 0.750 0.246
Ag6 Ag 0.697 0.250 0.070
Ag7 Ag 0.803 0.750 0.570
Ag8 Ag 0.989 0.250 0.746
```

Results
Space group   Pnma, No. 62
Energy of formation   54 meV/atom
E   -56.4 eV for the cell shown
ΔE to the lowest computed polymorph   11.08 kJ per mole of atoms



# ZrAg5

A relaxed structure of ZrAg5 (PBE-GGA, the Alexandria database).

Geometry as CIF:
```
data_ZrAg5
_chemical_formula_sum 'Zr1 Ag5'
_cell_length_a 4.934
_cell_length_b 7.938
_cell_length_c 7.938
_cell_angle_alpha 21.09
_cell_angle_beta 90.00
_cell_angle_gamma 90.00
_space_group_name_H-M_alt 'P 1'
_space_group_IT_number 1
loop_
_space_group_symop_operation_xyz
'x,y,z'
loop_
_atom_site_label
_atom_site_type_symbol
_atom_site_fract_x
_atom_site_fract_y
_atom_site_fract_z
Zr1 Zr 0.000 0.000 0.000
Ag1 Ag 0.000 0.331 0.331
Ag2 Ag 0.000 0.669 0.669
Ag3 Ag 0.500 0.226 0.226
Ag4 Ag 0.500 0.563 0.563
Ag5 Ag 0.500 0.891 0.891
```

Results
Space group   Amm2, No. 38
Energy of formation   33 meV/atom
E   -22.6 eV for the cell shown
ΔE to the lowest computed polymorph   1.62 kJ per mole of atoms